#P
# AuI2Cl PBE-GGA optimized geometry
# Crystal system = monoclinic
data_AuI2Cl
_chemical_formula_sum 'Au4 I8 Cl4'
_space_group_name_H-M_alt 'C 1 2/c 1'
_space_group_IT_number 15
_space_group_name_Hall '-C 2yc'
_cell_length_a 5.555
_cell_length_b 28.156
_cell_length_c 4.627
_cell_angle_alpha 90.00
_cell_angle_beta 93.26
_cell_angle_gamma 90.00
loop_
_atom_site_label
_atom_site_type_symbol
_atom_site_fract_x
_atom_site_fract_y
_atom_site_fract_z
Au1 Au 0.250 0.250 0.000
I1 I 0.246 0.076 0.159
Cl1 Cl 0.000 0.299 0.250

#Q
# AuI2Cl PBE-GGA optimized geometry
# Crystal system = tetragonal
# Density of states at the Fermi level = 3.24 states/eV/f.u.
data_AuI2Cl
_chemical_formula_sum 'Au4 I8 Cl4'
_space_group_name_H-M_alt 'I -4 2 d'
_space_group_IT_number 122
_space_group_name_Hall 'I -4 2bw'
_cell_length_a 8.339
_cell_length_b 8.339
_cell_length_c 7.170
_cell_angle_alpha 90.00
_cell_angle_beta 90.00
_cell_angle_gamma 90.00
loop_
_atom_site_label
_atom_site_type_symbol
_atom_site_fract_x
_atom_site_fract_y
_atom_site_fract_z
Au1 Au 0.000 0.000 0.000
I1 I 0.183 0.250 0.125
Cl1 Cl 0.000 0.000 0.500

Ranked by calculated energy, most stable first: #P, #Q.